Entry 1:
Here is RbCuPd3 after structural relaxation from Alexandria via LeMat-Bulk. Energies are from GGA-PBE.

```
data_RbCuPd3
_space_group_name_H-M_alt 'P m -3 m'
_space_group_IT_number 221
_space_group_name_Hall '-P 4 2 3'
_cell_length_a 4.8246
_cell_length_b 4.8246
_cell_length_c 4.8246
_cell_angle_alpha 90.00
_cell_angle_beta 90.00
_cell_angle_gamma 90.00
loop_
_atom_site_label
_atom_site_fract_x
_atom_site_fract_y
_atom_site_fract_z
_atom_site_occupancy
Rb1 0.0000 0.0000 0.0000 1
Cu1 0.5000 0.5000 0.5000 1
Pd1 0.0000 0.5000 0.5000 1
```

## Properties
Density of states at the Fermi level   3.0 states/eV/f.u.
Crystal system   cubic
Distance to the lowest polymorph of the same formula   0.00 kJ per mole of atoms
Calculated formation energy   0.430 eV per atom

***

Entry 2:
Here is RbCu2Pd2 after structural relaxation from Alexandria via LeMat-Bulk. Energies are from GGA-PBE.

```
data_RbCu2Pd2
_space_group_name_H-M_alt 'P 4/m b m'
_space_group_IT_number 127
_space_group_name_Hall '-P 4 2ab'
_cell_length_a 7.9531
_cell_length_b 7.9531
_cell_length_c 2.8607
_cell_angle_alpha 90.00
_cell_angle_beta 90.00
_cell_angle_gamma 90.00
loop_
_atom_site_label
_atom_site_fract_x
_atom_site_fract_y
_atom_site_fract_z
_atom_site_occupancy
Rb1 0.0000 0.0000 0.0000 1
Cu1 0.1593 0.3407 0.5000 1
Pd1 0.1273 0.6273 0.0000 1
```

## Properties
Density of states at the Fermi level   2.1 states/eV/f.u.
Crystal system   tetragonal
Distance to the lowest polymorph of the same formula   0.00 kJ per mole of atoms
Calculated formation energy   0.185 eV per atom

***

Entry 3:
Here is RbCu3Pd after structural relaxation from Alexandria via LeMat-Bulk. Energies are from GGA-PBE.

```
data_RbCu3Pd
_space_group_name_H-M_alt 'P m -3 m'
_space_group_IT_number 221
_space_group_name_Hall '-P 4 2 3'
_cell_length_a 5.0053
_cell_length_b 5.0053
_cell_length_c 5.0053
_cell_angle_alpha 90.00
_cell_angle_beta 90.00
_cell_angle_gamma 90.00
loop_
_atom_site_label
_atom_site_fract_x
_atom_site_fract_y
_atom_site_fract_z
_atom_site_occupancy
Rb1 0.0000 0.0000 0.0000 1
Cu1 0.0000 0.0000 0.5000 1
Pd1 0.5000 0.5000 0.5000 1
```

## Properties
Density of states at the Fermi level   2.3 states/eV/f.u.
Crystal system   cubic
Distance to the lowest polymorph of the same formula   139.44 kJ per mole of atoms
Calculated formation energy   1.951 eV per atom

***

Entry 4:
Here is RbCuPdS2 after structural relaxation from Alexandria via LeMat-Bulk. Energies are from GGA-PBE.

```
data_RbCuPdS2
_space_group_name_H-M_alt 'P 4/m m m'
_space_group_IT_number 123
_space_group_name_Hall '-P 4 2'
_cell_length_a 5.5812
_cell_length_b 5.5812
_cell_length_c 4.9976
_cell_angle_alpha 90.00
_cell_angle_beta 90.00
_cell_angle_gamma 90.00
loop_
_atom_site_label
_atom_site_fract_x
_atom_site_fract_y
_atom_site_fract_z
_atom_site_occupancy
Rb1 0.0000 0.0000 0.0000 1
Cu1 0.0000 0.0000 0.5000 1
Pd1 0.5000 0.5000 0.5000 1
S1 0.0000 0.5000 0.0000 1
```

## Properties
Density of states at the Fermi level   5.7 states/eV/f.u.
Crystal system   tetragonal
Uncorrected formation energy   8.20 eV/f.u.